{"formula": "NdThMg2", "functional": "PBE", "state": "relaxed", "formation_enthalpy_0k_ev_per_fu": 0.34, "dft_energy_ry_per_atom": -0.27631, "space_group": "R-3m", "lattice_angstrom": [[3.398, 0.000, 0.000], [-1.699, 2.943, 0.000], [0.000, 0.000, 35.099]], "species": ["Nd", "Nd", "Nd", "Th", "Th", "Th", "Mg", "Mg", "Mg", "Mg", "Mg", "Mg"], "frac_coords": [[0.000, 0.000, 0.000], [0.333, 0.667, 0.667], [0.667, 0.333, 0.333], [0.000, 0.000, 0.500], [0.333, 0.667, 0.167], [0.667, 0.333, 0.833], [0.000, 0.000, 0.250], [0.000, 0.000, 0.750], [0.333, 0.667, 0.417], [0.333, 0.667, 0.917], [0.667, 0.333, 0.083], [0.667, 0.333, 0.583]]}